1.
This record from Alexandria via LeMat-Bulk describes an optimized crystal structure of Li2TaBr. The functional is PBE.

```
4
Lattice="-5.8804 -4.6913 2.8847 -5.7140 -5.4862 -1.4703 7.2633 3.4700 -0.3374" Properties=species:S:1:pos:R:3 pbc="T T T"
Br -2.6403 -4.0057 -0.4873
Ta -5.1164 -4.4911 0.6241
Li -0.6699 -0.5880 0.0817
Li -1.7018 -2.7114 1.5656
```

Values from the calculation:
Total energy ... -4.16 eV/atom
Distance to the lowest polymorph of the same formula ... 0.97 eV/f.u.
Crystal system ... orthorhombic
Energy relative to the elements, uncorrected ... 0.1784 eV per atom

***

2.
This record from Alexandria via LeMat-Bulk describes an optimized crystal structure of Li2TaBr. The functional is PBE.

```
4
Lattice="5.9736 -0.0004 -0.0015 -2.2400 4.9813 -0.0073 1.4936 0.6766 2.4984" Properties=species:S:1:pos:R:3 pbc="T T T"
Li 0.0000 0.0000 0.0000
Li 3.7336 0.3381 1.2485
Ta -0.3732 2.8289 1.2455
Br 1.8668 2.4904 -0.0044
```

Values from the calculation:
Total energy ... -4.06 eV/atom
Distance to the lowest polymorph of the same formula ... 1.35 eV/f.u.
Crystal system ... orthorhombic
Energy relative to the elements, uncorrected ... 0.2745 eV per atom

***

3.
This record from Alexandria via LeMat-Bulk describes an optimized crystal structure of LiTaBr. The functional is PBE.

```
3
Lattice="4.2986 0.0000 0.0000 2.1493 3.7227 0.0000 2.1493 1.2409 3.5098" Properties=species:S:1:pos:R:3 pbc="T T T"
Li 0.0000 0.0000 0.0000
Br 2.1493 1.2409 0.8774
Ta 4.2986 2.4818 1.7549
```

Values from the calculation:
Total energy ... -4.21 eV/atom
Distance to the lowest polymorph of the same formula ... 2.56 eV/f.u.
Crystal system ... cubic
Energy relative to the elements, uncorrected ... 0.9375 eV per atom

***

4.
This record from Alexandria via LeMat-Bulk describes an optimized crystal structure of LiTa3Br. The functional is PBE.

```
5
Lattice="4.5331 0.0000 0.0000 0.0000 4.5331 0.0000 0.0000 0.0000 4.5331" Properties=species:S:1:pos:R:3 pbc="T T T"
Ta 0.0000 2.2665 0.0000
Ta 2.2665 0.0000 0.0000
Ta 0.0000 0.0000 2.2665
Br 2.2665 2.2665 2.2665
Li 0.0000 0.0000 0.0000
```

Values from the calculation:
Total energy ... -6.29 eV/atom
Distance to the lowest polymorph of the same formula ... 0.00 eV/f.u.
Crystal system ... cubic
Energy relative to the elements, uncorrected ... 1.5394 eV per atom

***

5.
This record from Alexandria via LeMat-Bulk describes an optimized crystal structure of Li2TaBr. The functional is PBE.

```
4
Lattice="-0.8564 -4.6918 -1.1509 -4.6116 -1.6362 -0.3556 -1.8639 -1.1479 -4.3908" Properties=species:S:1:pos:R:3 pbc="T T T"
Br 0.0000 0.0000 0.0000
Ta -3.6660 -3.7379 -2.9487
Li -5.4989 -5.6069 -4.4230
Li -1.8330 -1.8690 -1.4743
```

Values from the calculation:
Total energy ... -3.44 eV/atom
Distance to the lowest polymorph of the same formula ... 3.86 eV/f.u.
Crystal system ... cubic
Energy relative to the elements, uncorrected ... 0.8999 eV per atom

***

6.
This record from Alexandria via LeMat-Bulk describes an optimized crystal structure of Li2TaBr. The functional is PBE.

```
4
Lattice="9.0175 0.0078 0.0046 8.4753 3.0798 0.0046 8.4753 1.4959 2.6921" Properties=species:S:1:pos:R:3 pbc="T T T"
Ta 6.4920 1.1459 0.6753
Li 12.5890 2.2220 1.3095
Li 0.3951 0.0697 0.0411
Br 19.4761 3.4376 2.0259
```

Values from the calculation:
Total energy ... -4.40 eV/atom
Distance to the lowest polymorph of the same formula ... 0.00 eV/f.u.
Crystal system ... trigonal
Energy relative to the elements, uncorrected ... -0.0640 eV per atom

***

7.
This record from Alexandria via LeMat-Bulk describes an optimized crystal structure of Li2TaBr. The functional is PBE.

```
4
Lattice="3.1422 0.0000 0.0000 0.0000 4.8099 0.0000 0.0000 0.0000 4.8099" Properties=species:S:1:pos:R:3 pbc="T T T"
Li 0.0000 0.0000 0.0000
Li 0.0000 2.4050 2.4050
Br 1.5711 0.0000 2.4050
Ta 1.5711 2.4050 0.0000
```

Values from the calculation:
Total energy ... -3.80 eV/atom
Distance to the lowest polymorph of the same formula ... 2.41 eV/f.u.
Crystal system ... tetragonal
Energy relative to the elements, uncorrected ... 0.5373 eV per atom

***

8.
This record from Alexandria via LeMat-Bulk describes an optimized crystal structure of Li2TaBr. The functional is PBE.

```
4
Lattice="5.2237 0.0054 0.0000 2.4555 4.6105 0.0000 -3.8396 -2.3080 2.6865" Properties=species:S:1:pos:R:3 pbc="T T T"
Br 2.6118 0.0027 1.3433
Ta 3.8396 2.3080 0.0000
Li 0.0000 0.0000 0.0000
Li 1.2278 2.3053 1.3433
```

Values from the calculation:
Total energy ... -3.85 eV/atom
Distance to the lowest polymorph of the same formula ... 2.21 eV/f.u.
Crystal system ... tetragonal
Energy relative to the elements, uncorrected ... 0.4876 eV per atom

***

9.
This record from Alexandria via LeMat-Bulk describes an optimized crystal structure of LiTaBr6. The functional is PBE.

```
8
Lattice="6.7973 0.0088 0.0082 3.3908 5.8901 0.0114 3.3893 1.9582 6.0545" Properties=species:S:1:pos:R:3 pbc="T T T"
Br 5.4677 5.8457 1.4672
Br 5.7932 1.8284 1.4628
Br 9.1104 4.1182 1.4697
Br 4.4670 3.7388 4.6045
Br 8.1097 2.0113 4.6070
Br 7.7841 6.0286 4.6114
Ta 0.0000 0.0000 0.0000
Li 6.7887 3.9285 3.0371
```

Values from the calculation:
Total energy ... -3.99 eV/atom
Distance to the lowest polymorph of the same formula ... 0.18 eV/f.u.
Crystal system ... trigonal
Energy relative to the elements, uncorrected ... -1.0153 eV per atom

***

10.
This record from Alexandria via LeMat-Bulk describes an optimized crystal structure of Li2TaBr. The functional is PBE.

```
4
Lattice="-2.3355 -0.8417 -4.3988 0.0497 -2.7447 -4.2400 -3.3172 -4.1368 0.2529" Properties=species:S:1:pos:R:3 pbc="T T T"
Li -5.3607 -7.3959 -8.1029
Li -4.2789 -5.8790 -6.1759
Ta -2.5274 -3.5426 -4.4868
Br -1.8404 -2.4905 -2.1993
```

Values from the calculation:
Total energy ... -4.09 eV/atom
Distance to the lowest polymorph of the same formula ... 1.25 eV/f.u.
Crystal system ... monoclinic
Energy relative to the elements, uncorrected ... 0.2495 eV per atom

***

11.
This record from Alexandria via LeMat-Bulk describes an optimized crystal structure of LiTaBr. The functional is PBE.

```
3
Lattice="-6.2174 0.6994 3.8405 -6.9582 0.1518 0.8562 -0.1603 -2.3484 2.0529" Properties=species:S:1:pos:R:3 pbc="T T T"
Li -8.7108 -0.2464 3.7898
Br -0.2037 -2.3377 2.0617
Ta -4.5818 -1.2615 2.9510
```

Values from the calculation:
Total energy ... -4.92 eV/atom
Distance to the lowest polymorph of the same formula ... 0.44 eV/f.u.
Crystal system ... orthorhombic
Energy relative to the elements, uncorrected ... 0.2300 eV per atom

***

12.
This record from Alexandria via LeMat-Bulk describes an optimized crystal structure of LiTaBr. The functional is PBE.

```
3
Lattice="7.0700 0.0676 0.0000 5.6896 4.1973 0.0000 -6.3798 -2.1324 2.1772" Properties=species:S:1:pos:R:3 pbc="T T T"
Br 0.3801 0.1270 0.0000
Li 4.0060 1.3390 0.0000
Ta 8.3735 2.7988 0.0000
```

Values from the calculation:
Total energy ... -4.86 eV/atom
Distance to the lowest polymorph of the same formula ... 0.62 eV/f.u.
Crystal system ... tetragonal
Energy relative to the elements, uncorrected ... 0.2898 eV per atom

***

Question: Which of these has the lowest total energy?
Answer: LiTa3Br

***

Question: Which of these has the highest distance to the lowest polymorph of the same formula?
Answer: number 5